Entry 1:
The following is a DFT calculation (PBE) of a geometry-optimized TiAl3Pd4 structure.

## Properties
formation energy = -0.7955 eV per atom
V = 358.2 Å³ per cell

a b c (Å): 4.3912 4.3912 21.4485
angles (deg): 90.00 90.00 120.00
Closest atoms and distances in Å follow each position.
Space group R-3m (No. 166, hexagonal axes)
Asymmetric unit:
Ti  0.0000  0.0000  0.0000  8 Pd 2.69-2.71
Al  0.0000  0.0000  0.2503  8 Pd 2.66-2.70
Al  0.0000  0.0000  0.5000  8 Pd 2.68
Pd  0.0000  0.0000  0.1262  7 Al 2.66-2.70, 1 Ti 2.71
Pd  0.0000  0.0000  0.3753  5 Al 2.68, 3 Ti 2.69

---

Entry 2:
The following is a DFT calculation (PBE) of a geometry-optimized TbSb3 structure.

## Properties
ΔE_f (raw) = 187.4 meV/atom
V = 375.7 Å³ per cell
energy above the lowest structure with this stoichiometry = 2.71 eV per formula unit

a b c (Å): 6.1057 10.4798 5.8718
angles (deg): 90.00 90.00 90.00
Closest atoms and distances in Å follow each position.
Space group Cmmm (No. 65)
Asymmetric unit:
Tb  0.0000  0.0000  0.0000  6 Sb 2.94-3.03
Sb  0.0000  0.0000  0.5000  2 Tb 2.94
Sb  0.2500  0.2500  0.0000  2 Tb 3.03, 2 Sb 3.05

---

Entry 3:
The following is a DFT calculation (PBE) of a geometry-optimized YZnPd2 structure.

## Properties
formation energy = -0.7522 eV per atom
V = 294.8 Å³ per cell

a b c (Å): 7.2320 7.2638 5.6124
angles (deg): 90.00 90.00 90.00
Closest atoms and distances in Å follow each position.
Space group Pnma (No. 62)
Asymmetric unit:
Y  0.0253  0.2500  0.1360  3 Zn 2.96-3.04, 8 Pd 3.03-3.15
Zn  0.1131  0.7500  0.3607  6 Pd 2.56-2.62
Pd  0.1860  0.0497  0.5888  3 Zn 2.56-2.62